# OsRu3W

An optimized crystal structure of OsRu3W (GGA-PBE, Alexandria via LeMat-Bulk).

Uncorrected energy in eV per atom: -8.2168

Cell lengths 4.593, 4.593, 4.593 Å; angles 90.00, 90.00, 90.00 degrees
Space group Pm-3m (No. 221)
Unique sites:
Os1 0.000 0.000 0.000 [1 per cell]
Ru1 0.000 0.000 0.500 [3 per cell]
W1 0.500 0.500 0.500 [1 per cell]

# InSb2C2

An optimized crystal structure of InSb2C2 (GGA-PBE, Alexandria via LeMat-Bulk).

Energy relative to the elements, uncorrected in meV/atom: 1475

Cell lengths 7.534, 7.534, 3.448 Å; angles 90.00, 90.00, 90.00 degrees
Space group P4/mbm (No. 127)
Unique sites:
In1 0.000 0.000 0.000 [2 per cell]
Sb1 0.154 0.346 0.500 [4 per cell]
C1 0.222 0.722 0.000 [4 per cell]

# Pr8PdRh2

An optimized crystal structure of Pr8PdRh2 (GGA-PBE, Alexandria via LeMat-Bulk).

Uncorrected energy in eV per atom: -5.5871

Cell lengths 8.475, 13.629, 6.073 Å; angles 90.00, 109.29, 90.00 degrees
Space group C2/m (No. 12)
Unique sites:
Pr1 0.000 0.222 0.000 [4 per cell]
Pr2 0.131 0.500 0.831 [4 per cell]
Pr3 0.216 0.124 0.578 [8 per cell]
Pd1 0.000 0.000 0.000 [2 per cell]
Rh1 0.000 0.290 0.500 [4 per cell]

# HgOF

An optimized crystal structure of HgOF (GGA-PBE, Alexandria via LeMat-Bulk).

Energy relative to the elements, uncorrected in meV/atom: -585

Cell lengths 7.490, 6.709, 4.349 Å; angles 90.00, 115.20, 90.00 degrees
Space group C2/m (No. 12)
Unique sites:
Hg1 0.000 0.238 0.000 [4 per cell]
O1 0.070 0.000 0.429 [4 per cell]
F1 0.150 0.500 0.861 [4 per cell]

# CdTc2W

An optimized crystal structure of CdTc2W (GGA-PBE, Alexandria via LeMat-Bulk).

Uncorrected energy in eV per atom: -8.2656

Cell lengths 2.771, 4.176, 5.749 Å; angles 90.00, 100.22, 90.00 degrees
Space group P2/m (No. 10)
Unique sites:
Cd1 0.000 0.000 0.000 [1 per cell]
Tc1 0.407 0.500 0.733 [2 per cell]
W1 0.000 0.000 0.500 [1 per cell]

# MnGaSiS

An optimized crystal structure of MnGaSiS (GGA-PBE, Alexandria via LeMat-Bulk).

Energy relative to the elements, uncorrected in meV/atom: -51

Cell lengths 2.896, 4.028, 5.984 Å; angles 77.99, 89.86, 68.98 degrees
Space group P1 (No. 1)
Unique sites:
Mn1 0.000 0.000 0.000 [1 per cell]
Ga1 0.864 0.271 0.570 [1 per cell]
Si1 0.550 0.897 0.325 [1 per cell]
S1 0.701 0.598 0.959 [1 per cell]

# Cd2CoPb

An optimized crystal structure of Cd2CoPb (GGA-PBE, Alexandria via LeMat-Bulk).

Uncorrected energy in eV per atom: -2.7480

Cell lengths 4.188, 4.188, 4.701 Å; angles 90.00, 90.00, 90.00 degrees
Space group P4/mmm (No. 123)
Unique sites:
Cd1 0.000 0.500 0.000 [2 per cell]
Co1 0.000 0.000 0.500 [1 per cell]
Pb1 0.500 0.500 0.500 [1 per cell]

# BiSb2Au

An optimized crystal structure of BiSb2Au (GGA-PBE, Alexandria via LeMat-Bulk).

Energy relative to the elements, uncorrected in meV/atom: 35

Cell lengths 4.2758, 4.2758, 21.3716 Å; angles 90.00, 90.00, 120.00 degrees
Space group R3m (No. 160, hexagonal axes)
Unique sites:
Bi1 0.0000 0.0000 0.0000 [3 per cell]
Sb1 0.0000 0.0000 0.2374 [3 per cell]
Sb2 0.0000 0.0000 0.4346 [3 per cell]
Au1 0.0000 0.0000 0.8337 [3 per cell]

# AsRuPt2

An optimized crystal structure of AsRuPt2 (GGA-PBE, Alexandria via LeMat-Bulk).

Uncorrected energy in eV per atom: -6.3842

Cell lengths 2.849, 2.849, 7.778 Å; angles 90.00, 90.00, 90.00 degrees
Space group P4/mmm (No. 123)
Unique sites:
As1 0.000 0.000 0.000 [1 per cell]
Ru1 0.000 0.000 0.500 [1 per cell]
Pt1 0.500 0.500 0.260 [2 per cell]

# ZnNi2Rh

An optimized crystal structure of ZnNi2Rh (GGA-PBE, Alexandria via LeMat-Bulk).

Uncorrected energy in eV per atom: -5.1212

Cell lengths 5.856, 5.856, 5.856 Å; angles 90.00, 90.00, 90.00 degrees
Space group F-43m (No. 216)
Unique sites:
Zn1 0.000 0.000 0.000 [4 per cell]
Ni1 0.000 0.000 0.500 [4 per cell]
Ni2 0.250 0.250 0.750 [4 per cell]
Rh1 0.250 0.250 0.250 [4 per cell]

# Tb4Tm3Co4

An optimized crystal structure of Tb4Tm3Co4 (GGA-PBE, Alexandria via LeMat-Bulk).

Uncorrected energy in eV per atom: -5.5777

Cell lengths 3.557, 8.776, 15.537 Å; angles 90.00, 90.00, 90.00 degrees
Space group Immm (No. 71)
Unique sites:
Tb1 0.000 0.186 0.165 [8 per cell]
Tm1 0.000 0.000 0.397 [4 per cell]
Tm2 0.000 0.500 0.500 [2 per cell]
Co1 0.000 0.287 0.000 [4 per cell]
Co2 0.000 0.500 0.246 [4 per cell]

# PmDy5Y6

An optimized crystal structure of PmDy5Y6 (GGA-PBE, Alexandria via LeMat-Bulk).

Uncorrected energy in eV per atom: -5.5260

Cell lengths 6.178, 10.690, 11.813 Å; angles 90.00, 99.98, 90.00 degrees
Space group C2/m (No. 12)
Unique sites:
Pm1 0.000 0.000 0.000 [2 per cell]
Dy1 0.000 0.167 0.500 [4 per cell]
Dy2 0.000 0.333 0.000 [4 per cell]
Dy3 0.000 0.500 0.500 [2 per cell]
Y1 0.249 0.500 0.251 [4 per cell]
Y2 0.250 0.167 0.251 [8 per cell]